No. 1
First-principles (PBE) data for a relaxed structure of Gd2PbC4I, as listed in the Open Quantum Materials Database.

Cell lengths 4.5883, 4.5883, 8.3905 Å; angles 90.00, 90.00, 120.00 degrees
Space group P-6m2 (No. 187)
Inequivalent atoms, fractional coordinates:
Gd 0.0000 0.0000 0.2065 [2 per cell]
Pb 0.3333 0.6667 0.5000 [1 per cell]
C 0.3333 0.6667 0.0779 [2 per cell]
C 0.6667 0.3333 0.4201 [2 per cell]
I 0.6667 0.3333 0.0000 [1 per cell]

Computed properties:
Volume   19.1 Å³/atom

No. 2
First-principles (PBE) data for a relaxed structure of PrGdCI, as listed in the Open Quantum Materials Database.

Cell lengths 3.8504, 3.8504, 15.3646 Å; angles 90.00, 90.00, 120.00 degrees
Space group P-3m1 (No. 164)
Inequivalent atoms, fractional coordinates:
Pr 0.3333 0.6667 0.4099 [2 per cell]
Gd 0.3333 0.6667 0.0834 [2 per cell]
C 0.0000 0.0000 0.0000 [1 per cell]
C 0.0000 0.0000 0.5000 [1 per cell]
I 0.3333 0.6667 0.7606 [2 per cell]

Computed properties:
Volume   24.7 Å³/atom

No. 3
First-principles (PBE) data for a relaxed structure of Pr2Gd2CI5, as listed in the Open Quantum Materials Database.

Cell lengths 19.177, 4.040, 8.805 Å; angles 90.00, 103.07, 90.00 degrees
Space group C2/m (No. 12)
Inequivalent atoms, fractional coordinates:
Pr 0.136 0.000 0.069 [4 per cell]
Gd 0.001 0.500 0.811 [4 per cell]
C 0.000 0.000 0.000 [2 per cell]
I 0.000 0.000 0.500 [2 per cell]
I 0.162 0.500 0.352 [4 per cell]
I 0.167 0.500 0.810 [4 per cell]

Computed properties:
Relative energy among the computed polymorphs   11 meV per atom
Volume   33.2 Å³/atom

Number 1: final energy -44.914 eV/cell. Number 2: final energy -46.160 eV/cell. Number 3: final energy -93.873 eV/cell.